[1]
This record from the Alexandria database describes a geometry-optimized AlGeO2 structure. The functional is PBE.

Cell: 3.1430 3.1430 18.0526 Å, 90.00 90.00 120.00°
Space group R-3m (No. 166, hexagonal axes)
Symmetry-distinct sites (fractional):
Al  0.0000  0.0000  0.0000 [3 per cell]
Ge  0.0000  0.0000  0.5000 [3 per cell]
O  0.0000  0.0000  0.1013 [6 per cell]

Properties
* uncorrected energy: -5.617 eV per atom
* crystal system: trigonal
* formation energy from raw total energies: -1048 meV/atom
* energy relative to the lowest polymorph listed for this composition: 1032 meV/atom

[2]
This record from the Alexandria database describes a geometry-optimized As2PbW structure. The functional is PBE.

Cell: 6.820 6.820 6.820 Å, 90.00 90.00 90.00°
Space group F-43m (No. 216)
Symmetry-distinct sites (fractional):
As  0.000  0.000  0.000 [4 per cell]
As  0.250  0.250  0.250 [4 per cell]
Pb  0.250  0.250  0.750 [4 per cell]
W  0.000  0.000  0.500 [4 per cell]

Properties
* uncorrected energy: -5.507 eV per atom
* crystal system: cubic
* formation energy from the elements: 983 meV per atom

[3]
This record from the Alexandria database describes a geometry-optimized RbNa3Au8 structure. The functional is PBE.

Cell: 5.6733 5.6733 28.2293 Å, 90.00 90.00 120.00°
Space group R3m (No. 160, hexagonal axes)
Symmetry-distinct sites (fractional):
Rb  0.0000  0.0000  0.0000 [3 per cell]
Na  0.0000  0.0000  0.3790 [3 per cell]
Na  0.0000  0.0000  0.5004 [3 per cell]
Na  0.0000  0.0000  0.8729 [3 per cell]
Au  0.0000  0.0000  0.1869 [3 per cell]
Au  0.0000  0.0000  0.6874 [3 per cell]
Au  0.0032  0.5016  0.4395 [9 per cell]
Au  0.1678  0.3357  0.2675 [9 per cell]

Properties
* uncorrected energy: -2.912 eV per atom
* crystal system: trigonal
* formation energy from the elements: -317 meV per atom

[4]
This record from the Alexandria database describes a geometry-optimized CoNi3Au structure. The functional is PBE.

Cell: 4.254 4.254 4.254 Å, 90.00 90.00 90.00°
Space group Pm-3m (No. 221)
Symmetry-distinct sites (fractional):
Co  0.000  0.000  0.000 [1 per cell]
Ni  0.000  0.000  0.500 [3 per cell]
Au  0.500  0.500  0.500 [1 per cell]

Properties
* uncorrected energy: -4.639 eV per atom
* crystal system: cubic
* formation energy from the elements: 906 meV per atom
* energy relative to the lowest polymorph listed for this composition: 0 meV/atom

[5]
This record from the Alexandria database describes a geometry-optimized LiTaAs2 structure. The functional is PBE.

Cell: 9.470 3.433 4.233 Å, 90.00 98.66 90.00°
Space group Cm (No. 8)
Symmetry-distinct sites (fractional):
Li  0.000  0.000  0.000 [2 per cell]
Ta  0.278  0.500  0.428 [2 per cell]
As  0.261  0.000  0.923 [2 per cell]
As  0.495  0.000  0.467 [2 per cell]

Properties
* uncorrected energy: -6.041 eV per atom
* crystal system: monoclinic
* formation energy from the elements: -274 meV per atom
* energy relative to the lowest polymorph listed for this composition: 162 meV/atom

[6]
This record from the Alexandria database describes a geometry-optimized TcTe2P structure. The functional is PBE.

Cell: 5.484 5.484 5.749 Å, 90.00 90.00 90.00°
Space group I4/mmm (No. 139)
Symmetry-distinct sites (fractional):
Tc  0.000  0.000  0.000 [2 per cell]
Te  0.000  0.500  0.000 [4 per cell]
P  0.000  0.000  0.500 [2 per cell]

Properties
* uncorrected energy: -4.977 eV per atom
* crystal system: tetragonal
* formation energy from raw total energies: 538 meV/atom

- The highest uncorrected energy belongs to which entry?
  RbNa3Au8

- Which of these has the highest uncorrected energy?
  RbNa3Au8

- Look up the uncorrected energy of the third one.
  -2.912 eV per atom